1.
# BaCdP

A relaxed BaCdP crystal (PBE, Alexandria).

Calculated values
- Raw total energy: -3.15 eV/atom
- Polymorph energy (0 for the lowest one): 298 meV per atom
- DFT formation energy: -0.404 eV per atom
- Crystal system: cubic
- Total magnetic moment: 0.000 Bohr magnetons per cell

Cell lengths 7.357, 7.357, 7.357 Å; angles 90.00, 90.00, 90.00 degrees
Space group F-43m (No. 216)
Asymmetric unit:
Ba: 0.000 0.000 0.000 x4
Cd: 0.000 0.000 0.500 x4
P: 0.250 0.250 0.750 x4

---

2.
# BaCdP2

A relaxed BaCdP2 crystal (PBE, Alexandria).

Calculated values
- Raw total energy: -3.75 eV/atom
- DFT formation energy: -0.333 eV per atom
- Crystal system: monoclinic
- Total magnetic moment: 0.000 Bohr magnetons per cell

Cell lengths 5.176, 4.132, 5.343 Å; angles 90.00, 106.76, 90.00 degrees
Space group Pm (No. 6)
Asymmetric unit:
Ba: 0.000 0.000 0.000 x1
Cd: 0.398 0.500 0.679 x1
P: 0.630 0.000 0.398 x1
P: 0.850 0.500 0.436 x1

---

3.
# Ba2CdP2

A relaxed Ba2CdP2 crystal (PBE, Alexandria).

Calculated values
- Raw total energy: -3.60 eV/atom
- DFT formation energy: -0.483 eV per atom
- Crystal system: tetragonal
- Total magnetic moment: 0.000 Bohr magnetons per cell

Cell lengths 5.968, 5.968, 9.708 Å; angles 90.00, 90.00, 90.00 degrees
Space group I4/mmm (No. 139)
Asymmetric unit:
Ba: 0.000 0.500 0.250 x4
Cd: 0.000 0.000 0.000 x2
P: 0.000 0.000 0.384 x4

---

4.
# BaCd2P

A relaxed BaCd2P crystal (PBE, Alexandria).

Calculated values
- Raw total energy: -2.53 eV/atom
- DFT formation energy: -0.239 eV per atom
- Crystal system: tetragonal
- Total magnetic moment: 0.000 Bohr magnetons per cell

Cell lengths 8.712, 8.712, 6.325 Å; angles 90.00, 90.00, 90.00 degrees
Space group I-42d (No. 122)
Asymmetric unit:
Ba: 0.000 0.000 0.000 x4
Cd: 0.171 0.250 0.625 x8
P: 0.000 0.000 0.500 x4

---

5.
# BaCdP2

A relaxed BaCdP2 crystal (PBE, Alexandria).

Calculated values
- Raw total energy: -3.23 eV/atom
- DFT formation energy: 0.181 eV per atom
- Crystal system: cubic
- Total magnetic moment: 0.003 Bohr magnetons per cell

Cell lengths 7.379, 7.379, 7.379 Å; angles 90.00, 90.00, 90.00 degrees
Space group F-43m (No. 216)
Asymmetric unit:
Ba: 0.000 0.000 0.000 x4
Cd: 0.250 0.250 0.750 x4
P: 0.000 0.000 0.500 x4
P: 0.250 0.250 0.250 x4

---

6.
# BaCdP2

A relaxed BaCdP2 crystal (PBE, Alexandria).

Calculated values
- Raw total energy: -3.65 eV/atom
- DFT formation energy: -0.234 eV per atom
- Crystal system: trigonal
- Total magnetic moment: 0.000 Bohr magnetons per cell

Cell lengths 4.6441, 4.6441, 16.4838 Å; angles 90.00, 90.00, 120.00 degrees
Space group R-3m (No. 166, hexagonal axes)
Asymmetric unit:
Ba: 0.0000 0.0000 0.0000 x3
Cd: 0.0000 0.0000 0.5000 x3
P: 0.0000 0.0000 0.2050 x6

---

7.
# Ba4CdP

A relaxed Ba4CdP crystal (PBE, Alexandria).

Calculated values
- Raw total energy: -2.75 eV/atom
- Polymorph energy (0 for the lowest one): 0 meV per atom
- DFT formation energy: -0.412 eV per atom
- Crystal system: monoclinic
- Total magnetic moment: 3.150 Bohr magnetons per cell

Cell lengths 18.253, 7.825, 8.474 Å; angles 90.00, 108.62, 90.00 degrees
Space group C2/c (No. 15)
Asymmetric unit:
Ba: 0.096 0.080 0.473 x8
Ba: 0.168 0.449 0.155 x8
Cd: 0.000 0.311 0.750 x4
P: 0.250 0.250 0.500 x4

---

8.
# BaCdP

A relaxed BaCdP crystal (PBE, Alexandria).

Calculated values
- Raw total energy: -3.35 eV/atom
- Polymorph energy (0 for the lowest one): 99 meV per atom
- DFT formation energy: -0.603 eV per atom
- Crystal system: monoclinic
- Total magnetic moment: 0.000 Bohr magnetons per cell

Cell lengths 11.050, 4.544, 7.693 Å; angles 90.00, 101.15, 90.00 degrees
Space group Cm (No. 8)
Asymmetric unit:
Ba: 0.000 0.000 0.000 x2
Ba: 0.229 0.000 0.643 x2
Cd: 0.002 0.500 0.405 x2
Cd: 0.224 0.500 0.259 x2
P: 0.196 0.500 0.925 x2
P: 0.416 0.500 0.519 x2

---

9.
# BaCdP3

A relaxed BaCdP3 crystal (PBE, Alexandria).

Calculated values
- Raw total energy: -3.56 eV/atom
- Polymorph energy (0 for the lowest one): 0 meV per atom
- DFT formation energy: 0.258 eV per atom
- Crystal system: cubic
- Total magnetic moment: 0.000 Bohr magnetons per cell

Cell lengths 5.095, 5.095, 5.095 Å; angles 90.00, 90.00, 90.00 degrees
Space group Pm-3m (No. 221)
Asymmetric unit:
Ba: 0.000 0.000 0.000 x1
Cd: 0.500 0.500 0.500 x1
P: 0.000 0.500 0.500 x3

---

10.
# BaCdP2

A relaxed BaCdP2 crystal (PBE, Alexandria).

Calculated values
- Raw total energy: -3.38 eV/atom
- DFT formation energy: 0.038 eV per atom
- Crystal system: tetragonal
- Total magnetic moment: 0.000 Bohr magnetons per cell

Cell lengths 4.418, 4.418, 10.282 Å; angles 90.00, 90.00, 90.00 degrees
Space group I-4m2 (No. 119)
Asymmetric unit:
Ba: 0.000 0.000 0.000 x2
Cd: 0.000 0.500 0.750 x2
P: 0.000 0.000 0.500 x2
P: 0.000 0.500 0.250 x2

---

11.
# BaCd2P

A relaxed BaCd2P crystal (PBE, Alexandria).

Calculated values
- Raw total energy: -2.65 eV/atom
- DFT formation energy: -0.359 eV per atom
- Crystal system: monoclinic
- Total magnetic moment: 0.000 Bohr magnetons per cell

Cell lengths 7.715, 4.445, 7.329 Å; angles 90.00, 110.38, 90.00 degrees
Space group Cm (No. 8)
Asymmetric unit:
Ba: 0.000 0.000 0.000 x2
Cd: 0.215 0.000 0.643 x2
Cd: 0.472 0.000 0.419 x2
P: 0.258 0.500 0.277 x2

---

12.
# BaCd2P2

A relaxed BaCd2P2 crystal (PBE, Alexandria).

Calculated values
- Raw total energy: -3.50 eV/atom
- DFT formation energy: -0.585 eV per atom
- Crystal system: trigonal
- Total magnetic moment: 0.000 Bohr magnetons per cell

Cell lengths 4.4545, 4.4545, 7.6179 Å; angles 90.00, 90.00, 120.00 degrees
Space group P-3m1 (No. 164)
Asymmetric unit:
Ba: 0.0000 0.0000 0.0000 x1
Cd: 0.3333 0.6667 0.6311 x2
P: 0.3333 0.6667 0.2662 x2

---

13.
# Ba2CdPPd

A relaxed Ba2CdPPd crystal (PBE, Alexandria).

Calculated values
- Raw total energy: -3.61 eV/atom
- DFT formation energy: -0.536 eV per atom
- Crystal system: tetragonal
- Total magnetic moment: 0.000 Bohr magnetons per cell

Cell lengths 6.242, 6.242, 4.518 Å; angles 90.00, 90.00, 90.00 degrees
Space group P4/mmm (No. 123)
Asymmetric unit:
Ba: 0.000 0.500 0.000 x2
Cd: 0.000 0.000 0.500 x1
P: 0.500 0.500 0.000 x1
Pd: 0.500 0.500 0.500 x1

---

14.
# Ba2CdP3Pt12

A relaxed Ba2CdP3Pt12 crystal (PBE, Alexandria).

Calculated values
- Raw total energy: -5.48 eV/atom
- DFT formation energy: -0.288 eV per atom
- Crystal system: trigonal
- Total magnetic moment: 0.000 Bohr magnetons per cell

Cell lengths 8.4176, 8.4176, 18.6276 Å; angles 90.00, 90.00, 120.00 degrees
Space group R-3m (No. 166, hexagonal axes)
Asymmetric unit:
Ba: 0.0000 0.0000 0.1082 x6
Cd: 0.0000 0.0000 0.5000 x3
P: 0.0000 0.5000 0.0000 x9
Pt: 0.0029 0.5014 0.8787 x18
Pt: 0.0518 0.5259 0.3582 x18

---

15.
# Ba2CdPPt

A relaxed Ba2CdPPt crystal (PBE, Alexandria).

Calculated values
- Raw total energy: -3.83 eV/atom
- DFT formation energy: -0.588 eV per atom
- Crystal system: tetragonal
- Total magnetic moment: 0.000 Bohr magnetons per cell

Cell lengths 6.264, 6.264, 4.440 Å; angles 90.00, 90.00, 90.00 degrees
Space group P4/mmm (No. 123)
Asymmetric unit:
Ba: 0.000 0.500 0.000 x2
Cd: 0.000 0.000 0.500 x1
P: 0.500 0.500 0.000 x1
Pt: 0.500 0.500 0.500 x1

---

16.
# BaCd2ReP

A relaxed BaCd2ReP crystal (PBE, Alexandria).

Calculated values
- Raw total energy: -4.43 eV/atom
- DFT formation energy: -0.105 eV per atom
- Crystal system: tetragonal
- Total magnetic moment: 0.000 Bohr magnetons per cell

Cell lengths 5.361, 5.361, 4.580 Å; angles 90.00, 90.00, 90.00 degrees
Space group P4/mmm (No. 123)
Asymmetric unit:
Ba: 0.000 0.000 0.000 x1
Cd: 0.000 0.500 0.500 x2
Re: 0.500 0.500 0.500 x1
P: 0.500 0.500 0.000 x1

---

17.
# BaCdPRh

A relaxed BaCdPRh crystal (PBE, Alexandria).

Calculated values
- Raw total energy: -4.59 eV/atom
- DFT formation energy: -0.687 eV per atom
- Crystal system: tetragonal
- Total magnetic moment: 0.000 Bohr magnetons per cell

Cell lengths 4.030, 4.030, 12.594 Å; angles 90.00, 90.00, 90.00 degrees
Space group P4/nmm (No. 129, origin choice 2)
Asymmetric unit:
Ba: 0.250 0.250 0.232 x2
Cd: 0.250 0.750 0.500 x2
P: 0.250 0.250 0.897 x2
Rh: 0.250 0.750 0.000 x2

---

18.
# Ba2CdPRh

A relaxed Ba2CdPRh crystal (PBE, Alexandria).

Calculated values
- Raw total energy: -3.97 eV/atom
- Polymorph energy (0 for the lowest one): 40 meV per atom
- DFT formation energy: -0.462 eV per atom
- Crystal system: tetragonal
- Total magnetic moment: 0.000 Bohr magnetons per cell

Cell lengths 6.168, 6.168, 4.474 Å; angles 90.00, 90.00, 90.00 degrees
Space group P4/mmm (No. 123)
Asymmetric unit:
Ba: 0.000 0.500 0.000 x2
Cd: 0.000 0.000 0.500 x1
P: 0.500 0.500 0.500 x1
Rh: 0.500 0.500 0.000 x1

---

19.
# Ba2CdPRh

A relaxed Ba2CdPRh crystal (PBE, Alexandria).

Calculated values
- Raw total energy: -4.01 eV/atom
- Polymorph energy (0 for the lowest one): 0 meV per atom
- DFT formation energy: -0.502 eV per atom
- Crystal system: tetragonal
- Total magnetic moment: 0.000 Bohr magnetons per cell

Cell lengths 6.248, 6.248, 4.380 Å; angles 90.00, 90.00, 90.00 degrees
Space group P4/mmm (No. 123)
Asymmetric unit:
Ba: 0.000 0.500 0.000 x2
Cd: 0.000 0.000 0.500 x1
P: 0.500 0.500 0.000 x1
Rh: 0.500 0.500 0.500 x1

---

20.
# BaCdPRu

A relaxed BaCdPRu crystal (PBE, Alexandria).

Calculated values
- Raw total energy: -5.05 eV/atom
- DFT formation energy: -0.672 eV per atom
- Crystal system: tetragonal
- Total magnetic moment: 0.000 Bohr magnetons per cell

Cell lengths 4.093, 4.093, 12.386 Å; angles 90.00, 90.00, 90.00 degrees
Space group P4/nmm (No. 129, origin choice 2)
Asymmetric unit:
Ba: 0.250 0.250 0.231 x2
Cd: 0.250 0.750 0.500 x2
P: 0.250 0.250 0.907 x2
Ru: 0.250 0.750 0.000 x2

---

21.
# BaCdPS2

A relaxed BaCdPS2 crystal (PBE, Alexandria).

Calculated values
- Raw total energy: -2.65 eV/atom
- Polymorph energy (0 for the lowest one): 974 meV per atom
- Crystal system: tetragonal
- Total magnetic moment: 4.750 Bohr magnetons per cell
- Uncorrected formation energy: 0.65 eV/atom

Cell lengths 6.042, 6.042, 6.398 Å; angles 90.00, 90.00, 90.00 degrees
Space group P4/mmm (No. 123)
Asymmetric unit:
Ba: 0.000 0.000 0.000 x1
Cd: 0.500 0.500 0.500 x1
P: 0.000 0.000 0.500 x1
S: 0.000 0.500 0.000 x2

---

22.
# BaCdPS2

A relaxed BaCdPS2 crystal (PBE, Alexandria).

Calculated values
- Raw total energy: -3.62 eV/atom
- Polymorph energy (0 for the lowest one): 0 meV per atom
- Crystal system: tetragonal
- Total magnetic moment: 0.576 Bohr magnetons per cell
- Uncorrected formation energy: -0.32 eV/atom

Cell lengths 5.201, 5.201, 4.922 Å; angles 90.00, 90.00, 90.00 degrees
Space group P4/mmm (No. 123)
Asymmetric unit:
Ba: 0.000 0.000 0.000 x1
Cd: 0.500 0.500 0.500 x1
P: 0.500 0.500 0.000 x1
S: 0.000 0.500 0.500 x2

---

23.
# Ba2CdSbP

A relaxed Ba2CdSbP crystal (PBE, Alexandria).

Calculated values
- Raw total energy: -3.72 eV/atom
- Crystal system: monoclinic
- Total magnetic moment: 0.000 Bohr magnetons per cell
- Uncorrected formation energy: -0.86 eV/atom

Cell lengths 8.159, 4.733, 9.973 Å; angles 90.00, 106.62, 90.00 degrees
Space group P2_1/m (No. 11)
Asymmetric unit:
Ba: 0.177 0.250 0.391 x2
Ba: 0.223 0.250 0.968 x2
Cd: 0.485 0.750 0.267 x2
Sb: 0.307 0.750 0.695 x2
P: 0.166 0.750 0.174 x2

---

24.
# Ba2CdPSe

A relaxed Ba2CdPSe crystal (PBE, Alexandria).

Calculated values
- Raw total energy: -3.20 eV/atom
- Crystal system: tetragonal
- Total magnetic moment: 0.000 Bohr magnetons per cell
- Uncorrected formation energy: -0.47 eV/atom

Cell lengths 6.185, 6.185, 5.070 Å; angles 90.00, 90.00, 90.00 degrees
Space group P4/mmm (No. 123)
Asymmetric unit:
Ba: 0.000 0.500 0.000 x2
Cd: 0.000 0.000 0.500 x1
P: 0.500 0.500 0.500 x1
Se: 0.500 0.500 0.000 x1

---

25.
# Ba2CdSn2P4

A relaxed Ba2CdSn2P4 crystal (PBE, Alexandria).

Calculated values
- Raw total energy: -4.23 eV/atom
- DFT formation energy: -0.404 eV per atom
- Crystal system: monoclinic
- Total magnetic moment: 0.000 Bohr magnetons per cell

Cell lengths 15.182, 5.148, 6.482 Å; angles 90.00, 106.63, 90.00 degrees
Space group C2/m (No. 12)
Asymmetric unit:
Ba: 0.135 0.000 0.083 x4
Cd: 0.000 0.000 0.500 x2
Sn: 0.154 0.500 0.520 x4
P: 0.002 0.500 0.826 x4
P: 0.197 0.000 0.648 x4

---

26.
# BaSrCdP2

A relaxed BaSrCdP2 crystal (PBE, Alexandria).

Calculated values
- Raw total energy: -3.79 eV/atom
- DFT formation energy: -0.720 eV per atom
- Crystal system: monoclinic
- Total magnetic moment: 0.000 Bohr magnetons per cell

Cell lengths 7.560, 5.442, 8.358 Å; angles 90.00, 102.83, 90.00 degrees
Space group P2/c (No. 13)
Asymmetric unit:
Ba: 0.000 0.186 0.250 x2
Sr: 0.500 0.477 0.750 x2
Cd: 0.500 0.000 0.000 x2
P: 0.240 0.274 0.961 x4